# 1
Density functional theory data (GGA-PBE) for crystalline Ba2LiAl12Ni3 at its relaxed geometry.

The calculation puts the formation energy at 0.020 eV/atom. The space group is R-3m (166).

abc: 8.024 8.024 8.024
angles: 67.57 67.57 67.57
Positions (direct):
Ba: 0.605 0.605 0.605
Ba: 0.395 0.395 0.395
Li: 0.000 0.000 0.000
Al: 0.271 0.271 0.930
Al: 0.889 0.889 0.350
Al: 0.350 0.889 0.889
Al: 0.930 0.271 0.271
Al: 0.889 0.350 0.889
Al: 0.271 0.930 0.271
Al: 0.729 0.729 0.070
Al: 0.111 0.111 0.650
Al: 0.650 0.111 0.111
Al: 0.070 0.729 0.729
Al: 0.111 0.650 0.111
Al: 0.729 0.070 0.729
Ni: 0.500 0.000 0.000
Ni: 0.000 0.500 0.000
Ni: 0.000 0.000 0.500



# 2
Density functional theory data (GGA-PBE) for crystalline BaLiAl2Ni at its relaxed geometry.

The energy relative to the lowest polymorph listed for this composition is 238 meV per atom. The calculation puts the formation energy at 0.020 eV/atom. The space group is P4/mmm (123).

abc: 4.727 5.664 4.727
angles: 90.00 90.00 90.00
Positions (direct):
Ni: 0.000 0.000 0.000
Li: 0.500 0.500 0.500
Ba: 0.000 0.500 0.000
Al: 0.000 0.000 0.500
Al: 0.500 0.000 0.000



# 3
Density functional theory data (GGA-PBE) for crystalline BaLiAlO3 at its relaxed geometry.

The space group is C2/m (12). The formation energy without anion corrections is -14.41 eV per formula unit.

abc: 5.720 5.720 6.329
angles: 69.09 69.09 71.23
Positions (direct):
Ba: 0.701 0.701 0.858
Ba: 0.299 0.299 0.142
Li: 0.334 0.666 0.500
Li: 0.666 0.334 0.500
Al: 0.089 0.089 0.749
Al: 0.911 0.911 0.251
O: 0.293 0.293 0.605
O: 0.180 0.759 0.796
O: 0.759 0.180 0.796
O: 0.241 0.820 0.204
O: 0.820 0.241 0.204
O: 0.707 0.707 0.395



# 4
Density functional theory data (GGA-PBE) for crystalline BaLiAlP2 at its relaxed geometry.

The calculation puts the formation energy at -0.878 eV/atom. The space group is C2/m (12).

abc: 4.090 6.877 8.744
angles: 78.02 76.48 72.70
Positions (direct):
Ba: 0.821 0.712 0.646
Ba: 0.179 0.288 0.354
Li: 0.349 0.368 0.933
Li: 0.651 0.632 0.067
Al: 0.032 0.110 0.827
Al: 0.968 0.890 0.173
P: 0.448 0.776 0.329
P: 0.552 0.224 0.671
P: 0.839 0.248 0.074
P: 0.161 0.752 0.926



# 5
Density functional theory data (GGA-PBE) for crystalline Ba2Li3AlPb4 at its relaxed geometry.

The calculation puts the formation energy at -0.390 eV/atom. The space group is P-4m2 (115).

abc: 4.811 4.811 12.222
angles: 90.00 90.00 90.00
Positions (direct):
Ba: 0.500 0.000 0.257
Ba: 0.000 0.500 0.743
Li: 0.000 0.000 0.500
Li: 0.500 0.000 0.863
Li: 0.000 0.500 0.137
Al: 0.500 0.500 0.500
Pb: 0.500 0.500 0.000
Pb: 0.000 0.000 0.000
Pb: 0.500 0.000 0.633
Pb: 0.000 0.500 0.367



# 6
Density functional theory data (GGA-PBE) for crystalline Ba2LiAlPd2 at its relaxed geometry.

The calculation puts the formation energy at -0.496 eV/atom. The space group is Ibam (72).

abc: 6.186 6.262 9.667
angles: 108.90 108.66 90.00
Positions (direct):
Ba: 0.406 0.161 0.322
Ba: 0.594 0.839 0.678
Ba: 0.085 0.339 0.678
Ba: 0.915 0.661 0.322
Li: 0.000 0.750 0.000
Li: 0.000 0.250 0.000
Al: 0.500 0.750 0.000
Al: 0.500 0.250 0.000
Pd: 0.808 0.085 0.170
Pd: 0.362 0.585 0.170
Pd: 0.638 0.415 0.830
Pd: 0.192 0.915 0.830



# 7
Density functional theory data (GGA-PBE) for crystalline BaLi2AlPd at its relaxed geometry.

The calculation puts the formation energy at -0.283 eV/atom. The space group is P4/mmm (123).

abc: 5.091 5.091 4.829
angles: 90.00 90.00 90.00
Positions (direct):
Li: 0.000 0.500 0.000
Li: 0.500 0.000 0.000
Ba: 0.500 0.500 0.500
Pd: 0.000 0.000 0.000
Al: 0.000 0.000 0.500



# 8
Density functional theory data (GGA-PBE) for crystalline BaLiPmAl at its relaxed geometry.

The calculation puts the formation energy at 0.012 eV/atom. The space group is F-43m (216).

abc: 5.602 5.602 5.602
angles: 60.00 60.00 60.00
Positions (direct):
Al: 0.500 0.500 0.500
Li: 0.000 0.000 0.000
Ba: 0.750 0.750 0.750
Pm: 0.250 0.250 0.250



# 9
Density functional theory data (GGA-PBE) for crystalline BaLiPrAl at its relaxed geometry.

The calculation puts the formation energy at 0.000 eV/atom. The space group is F-43m (216).

abc: 5.638 5.638 5.638
angles: 60.00 60.00 60.00
Positions (direct):
Pr: 0.750 0.750 0.750
Li: 0.000 0.000 0.000
Ba: 0.250 0.250 0.250
Al: 0.500 0.500 0.500



# 10
Density functional theory data (GGA-PBE) for crystalline BaLiAlPt at its relaxed geometry.

The calculation puts the formation energy at -0.636 eV/atom. The space group is Cm (8).

abc: 4.458 4.475 6.293
angles: 110.95 90.00 119.88
Positions (direct):
Ba: 0.625 0.250 0.514
Li: 0.809 0.618 0.070
Al: 0.104 0.207 0.953
Pt: 0.428 0.857 0.930



# 11
Density functional theory data (GGA-PBE) for crystalline Ba2LiAlPt at its relaxed geometry.

The calculation puts the formation energy at -0.353 eV/atom. The space group is P4/mmm (123).

abc: 6.256 6.256 4.867
angles: 90.00 90.00 90.00
Positions (direct):
Li: 0.500 0.500 0.500
Ba: 0.000 0.500 0.000
Ba: 0.500 0.000 0.000
Pt: 0.000 0.000 0.000
Al: 0.000 0.000 0.500



# 12
Density functional theory data (GGA-PBE) for crystalline BaLi2AlRe at its relaxed geometry.

The calculation puts the formation energy at 1.350 eV/atom. The space group is P4/mmm (123).

abc: 5.004 6.321 5.004
angles: 90.00 90.00 90.00
Positions (direct):
Re: 0.500 0.500 0.500
Li: 0.000 0.000 0.500
Li: 0.500 0.000 0.000
Ba: 0.000 0.500 0.000
Al: 0.000 0.000 0.000



# 13
Density functional theory data (GGA-PBE) for crystalline BaLi2AlRh at its relaxed geometry.

The calculation puts the formation energy at -0.211 eV/atom. The space group is P4/mmm (123).

abc: 5.023 5.023 4.774
angles: 90.00 90.00 90.00
Positions (direct):
Li: 0.000 0.500 0.000
Li: 0.500 0.000 0.000
Rh: 0.000 0.000 0.000
Ba: 0.500 0.500 0.500
Al: 0.000 0.000 0.500



# 14
Density functional theory data (GGA-PBE) for crystalline BaLi2AlS4 at its relaxed geometry.

The space group is I-42m (121). The formation energy without anion corrections is -10.30 eV per formula unit.

abc: 6.697 6.254 6.254
angles: 81.54 57.63 57.63
Positions (direct):
Ba: 0.000 0.000 0.000
Li: 0.500 0.750 0.250
Li: 0.500 0.250 0.750
Al: 0.000 0.500 0.500
S: 0.610 0.535 0.855
S: 0.390 0.145 0.465
S: 0.000 0.465 0.145
S: 0.000 0.855 0.535



# 15
Density functional theory data (GGA-PBE) for crystalline BaLiAlSb2 at its relaxed geometry.

The space group is C2/m (12). The formation energy without anion corrections is -3.22 eV per formula unit.

abc: 4.539 7.478 9.642
angles: 78.66 76.38 72.33
Positions (direct):
Ba: 0.816 0.715 0.653
Ba: 0.184 0.285 0.347
Li: 0.360 0.356 0.924
Li: 0.640 0.644 0.076
Al: 0.034 0.117 0.815
Al: 0.966 0.883 0.185
Sb: 0.444 0.765 0.348
Sb: 0.556 0.235 0.652
Sb: 0.836 0.252 0.075
Sb: 0.164 0.748 0.925



# 16
Density functional theory data (GGA-PBE) for crystalline Ba2LiAl3Si4 at its relaxed geometry.

The space group is P-4m2 (115). The formation energy without anion corrections is -2.84 eV per formula unit.

abc: 4.612 4.612 10.289
angles: 90.00 90.00 90.00
Positions (direct):
Ba: 0.500 0.000 0.248
Ba: 0.000 0.500 0.752
Li: 0.500 0.500 0.500
Al: 0.000 0.000 0.500
Al: 0.500 0.000 0.880
Al: 0.000 0.500 0.120
Si: 0.500 0.500 0.000
Si: 0.000 0.000 0.000
Si: 0.500 0.000 0.632
Si: 0.000 0.500 0.368



# 17
Density functional theory data (GGA-PBE) for crystalline BaLiAl2Si2 at its relaxed geometry.

The space group is P-3m1 (164). The formation energy without anion corrections is -1.83 eV per formula unit.

abc: 4.432 4.432 7.563
angles: 90.00 90.00 120.00
Positions (direct):
Ba: 0.000 0.000 0.000
Li: 0.000 0.000 0.500
Al: 0.333 0.667 0.642
Al: 0.667 0.333 0.358
Si: 0.333 0.667 0.297
Si: 0.667 0.333 0.703



# 18
Density functional theory data (GGA-PBE) for crystalline Ba2LiAl4Si3 at its relaxed geometry.

The space group is P-4m2 (115). The formation energy without anion corrections is -2.11 eV per formula unit.

abc: 4.545 4.545 10.715
angles: 90.00 90.00 90.00
Positions (direct):
Ba: 0.500 0.000 0.250
Ba: 0.000 0.500 0.750
Li: 0.500 0.500 0.500
Al: 0.500 0.500 0.000
Al: 0.000 0.000 0.000
Al: 0.500 0.000 0.629
Al: 0.000 0.500 0.371
Si: 0.000 0.000 0.500
Si: 0.500 0.000 0.878
Si: 0.000 0.500 0.122



# 19
Density functional theory data (GGA-PBE) for crystalline BaLiSmAl at its relaxed geometry.

The calculation puts the formation energy at 0.017 eV/atom. The space group is F-43m (216).

abc: 5.590 5.590 5.590
angles: 60.00 60.00 60.00
Positions (direct):
Li: 0.000 0.000 0.000
Ba: 0.750 0.750 0.750
Sm: 0.250 0.250 0.250
Al: 0.500 0.500 0.500



# 20
Density functional theory data (GGA-PBE) for crystalline Ba2Li3AlSn4 at its relaxed geometry.

The calculation puts the formation energy at -0.490 eV/atom. The space group is P-4m2 (115).

abc: 4.649 4.649 12.336
angles: 90.00 90.00 90.00
Positions (direct):
Ba: 0.500 0.000 0.253
Ba: 0.000 0.500 0.747
Li: 0.000 0.000 0.500
Li: 0.500 0.000 0.861
Li: 0.000 0.500 0.139
Al: 0.500 0.500 0.500
Sn: 0.500 0.500 0.000
Sn: 0.000 0.000 0.000
Sn: 0.500 0.000 0.632
Sn: 0.000 0.500 0.368



# 21
Density functional theory data (GGA-PBE) for crystalline BaSrLiAl at its relaxed geometry.

The calculation puts the formation energy at -0.040 eV/atom. The space group is F-43m (216).

abc: 5.846 5.846 5.846
angles: 60.00 60.00 60.00
Positions (direct):
Sr: 0.250 0.250 0.250
Li: 0.000 0.000 0.000
Ba: 0.750 0.750 0.750
Al: 0.500 0.500 0.500



# 22
Density functional theory data (GGA-PBE) for crystalline BaSrLi2Al at its relaxed geometry.

The calculation puts the formation energy at 0.507 eV/atom. The space group is P4/mmm (123).

abc: 5.825 6.068 5.825
angles: 90.00 90.00 90.00
Positions (direct):
Sr: 0.000 0.000 0.000
Li: 0.000 0.000 0.500
Li: 0.500 0.000 0.000
Ba: 0.500 0.500 0.500
Al: 0.000 0.500 0.000



# 23
Density functional theory data (GGA-PBE) for crystalline BaLiTiAl2 at its relaxed geometry.

The calculation puts the formation energy at 0.546 eV/atom. The space group is P4/mmm (123).

abc: 5.223 5.605 5.223
angles: 90.00 90.00 90.00
Positions (direct):
Al: 0.000 0.000 0.500
Al: 0.500 0.000 0.000
Li: 0.500 0.500 0.500
Ba: 0.000 0.500 0.000
Ti: 0.000 0.000 0.000



# 24
Density functional theory data (GGA-PBE) for crystalline BaLiAlTl at its relaxed geometry.

The calculation puts the formation energy at -0.092 eV/atom. The space group is F-43m (216).

abc: 5.350 5.350 5.350
angles: 60.00 60.00 60.00
Positions (direct):
Tl: 0.250 0.250 0.250
Li: 0.000 0.000 0.000
Ba: 0.750 0.750 0.750
Al: 0.500 0.500 0.500



# 25
Density functional theory data (GGA-PBE) for crystalline BaLi2AlW at its relaxed geometry.

The calculation puts the formation energy at 1.380 eV/atom. The space group is P4/mmm (123).

abc: 5.121 6.210 5.121
angles: 90.00 90.00 90.00
Positions (direct):
Li: 0.000 0.000 0.500
Li: 0.500 0.000 0.000
Ba: 0.000 0.500 0.000
W: 0.500 0.500 0.500
Al: 0.000 0.000 0.000



# 26
Density functional theory data (GGA-PBE) for crystalline BaLiAl2Zn4 at its relaxed geometry.

The calculation puts the formation energy at -0.168 eV/atom. The space group is R-3m (166).

abc: 4.420 4.420 9.828
angles: 77.00 77.00 60.00
Positions (direct):
Ba: 0.000 0.000 0.000
Li: 0.500 0.500 0.500
Al: 0.766 0.766 0.701
Al: 0.234 0.234 0.299
Zn: 0.411 0.411 0.768
Zn: 0.865 0.865 0.405
Zn: 0.135 0.135 0.595
Zn: 0.589 0.589 0.232